VASP calculation (meta-GGA SCAN) on a PBEsol-optimized structure of LiFeWClO4.

Calculated total energy ... -278.0 eV for the cell shown
Total moment ... 8.00 Bohr magnetons per cell
Symmetry ... P2_1/m

Cell: 4.959 6.899 6.955 Å, 90.00 92.33 90.00°
Fractional positions:
Li 0.000 0.000 0.000
Li 0.000 0.500 0.000
Fe 0.304 0.250 0.249
Fe 0.696 0.750 0.751
W 0.499 0.250 0.761
W 0.501 0.750 0.239
Cl 0.201 0.750 0.776
Cl 0.799 0.250 0.224
O 0.243 0.250 0.940
O 0.292 0.537 0.212
O 0.292 0.963 0.212
O 0.338 0.250 0.529
O 0.662 0.750 0.471
O 0.708 0.037 0.788
O 0.708 0.463 0.788
O 0.757 0.750 0.060

---

VASP calculation (meta-GGA SCAN) on a PBEsol-optimized structure of MnAuO2.

Calculated total energy ... -101.1 eV for the cell shown
DOS at the Fermi energy ... 2.10 states/eV per cell
Total moment ... 3.99 Bohr magnetons per cell
Symmetry ... Fm-3m

Cell: 3.958 3.958 3.958 Å, 60.00 60.00 60.00°
Fractional positions:
Mn 0.000 0.000 0.000
Au 0.500 0.500 0.500
O 0.250 0.250 0.250
O 0.750 0.750 0.750

---

VASP calculation (meta-GGA SCAN) on a PBEsol-optimized structure of LiTl2Ni.

Energy of formation ... 87.5 meV/atom
Calculated total energy ... -162.9 eV for the cell shown
DOS at the Fermi energy ... 1.86 states/eV per cell
Total moment ... 0.00 Bohr magnetons per cell
Symmetry ... P4/mmm

Cell: 4.492 4.492 3.447 Å, 90.00 90.00 90.00°
Fractional positions:
Li 0.000 0.000 0.000
Tl 0.000 0.500 0.500
Tl 0.500 0.000 0.500
Ni 0.500 0.500 0.000

---

VASP calculation (meta-GGA SCAN) on a PBEsol-optimized structure of In2TcW.

Energy of formation ... 572.5 meV/atom
Calculated total energy ... -169.2 eV for the cell shown
DOS at the Fermi energy ... 3.16 states/eV per cell
Total moment ... 0.00 Bohr magnetons per cell
Symmetry ... I-4m2

Cell: 4.931 4.931 4.931 Å, 129.97 129.97 73.45°
Fractional positions:
In 0.000 0.000 0.000
In 0.750 0.250 0.500
Tc 0.500 0.500 0.000
W 0.250 0.750 0.500